one | Entry from Alexandria via LeMat-Bulk: a geometry-optimized ErPaSi4 structure (PBE-GGA).

```
6
Lattice="5.286 0.000 0.000 2.643 4.578 0.000 2.643 1.526 4.316" Properties=species:S:1:pos:R:3 pbc="T T T"
Pa 2.643 1.526 1.079
Si 5.286 1.495 2.708
Si 5.286 3.052 0.507
Si 6.634 3.830 2.708
Si 3.938 3.830 2.708
Er 0.000 0.000 0.000
```

Properties
space-group type: F-43m
N(E_F): 0.86 states/eV per atom

two | Entry from Alexandria via LeMat-Bulk: a geometry-optimized ErPaSi4 structure (PBE-GGA).

```
24
Lattice="3.923 0.000 0.000 0.000 8.402 0.000 0.000 0.000 14.356" Properties=species:S:1:pos:R:3 pbc="T T T"
Si 1.962 5.762 9.924
Si 1.962 8.078 10.273
Si 1.962 1.235 8.311
Si 1.962 2.640 4.432
Si 1.962 3.877 11.261
Si 1.962 1.561 11.610
Si 1.962 1.061 13.914
Si 1.962 5.436 13.223
Si 1.962 2.966 1.133
Si 1.962 6.841 2.746
Si 1.962 7.167 6.045
Si 1.962 3.140 6.736
Si 1.962 7.341 0.442
Si 1.962 0.324 4.083
Si 1.962 4.525 3.095
Si 1.962 5.262 7.620
Pa 0.000 7.602 12.452
Pa 0.000 3.402 9.082
Pa 0.000 0.799 1.904
Pa 0.000 5.000 5.274
Er 0.000 5.320 1.202
Er 0.000 7.283 8.380
Er 0.000 3.082 13.154
Er 0.000 1.119 5.976
```

Properties
space-group type: Pbam
N(E_F): 0.73 states/eV per atom

Which of them is least stable? Easy: one.